Material: Pd12Pt2Pb5
Method: DFT, PBE
State: relaxed

Cell lengths 7.590, 7.720, 6.833 Å; angles 87.36, 90.00, 119.44 degrees
Fractional positions:
Pb 0.686 0.372 0.964
Pb 0.000 0.000 0.500
Pb 0.757 0.514 0.427
Pb 0.243 0.486 0.573
Pb 0.314 0.628 0.036
Pd 0.902 0.803 0.098
Pd 0.653 0.683 0.764
Pd 0.031 0.683 0.764
Pd 0.098 0.197 0.902
Pd 0.408 0.231 0.642
Pd 0.347 0.317 0.236
Pd 0.177 0.769 0.358
Pd 0.823 0.231 0.642
Pd 0.445 0.890 0.678
Pd 0.969 0.317 0.236
Pd 0.555 0.110 0.322
Pd 0.592 0.769 0.358
Pt 0.693 0.000 0.000
Pt 0.307 0.000 0.000

Material: Pd3PtPb6
Method: DFT, PBE
State: relaxed

Values from the calculation:
relative energy among the computed polymorphs: 12 meV/atom

Cell lengths 3.674, 10.989, 12.985 Å; angles 110.11, 90.00, 90.00 degrees
Fractional positions:
Pb 0.750 0.444 0.097
Pb 0.750 0.744 0.318
Pb 0.250 0.141 0.902
Pb 0.750 0.096 0.439
Pb 0.250 0.556 0.903
Pb 0.250 0.904 0.561
Pb 0.750 0.819 0.765
Pb 0.250 0.181 0.235
Pb 0.250 0.256 0.682
Pb 0.750 0.859 0.098
Pb 0.750 0.496 0.618
Pb 0.250 0.504 0.382
Pd 0.250 0.308 0.477
Pd 0.750 0.692 0.523
Pd 0.750 0.334 0.862
Pd 0.750 0.104 0.061
Pd 0.250 0.666 0.138
Pd 0.250 0.896 0.939
Pt 0.750 0.064 0.713
Pt 0.250 0.936 0.287

| no. | total magnetic moment (μB per formula unit) | uncorrected energy (eV/f.u.) | energy relative to the elements (eV/atom) |
| --- | --- | --- | --- |
| 1 | 0.00 | -95.41 | -0.130 |
| 2 | 0.00 | -45.32 | -0.145 |